[1]
A plane-wave DFT calculation with GGA-PBE was carried out for Zr2Ga2Se7 after structural relaxation.

Geometry as extended XYZ:
```
11
Lattice="6.726 -0.295 -0.337 -0.803 6.976 -0.439 -0.803 -1.363 6.856" Properties=species:S:1:pos:R:3 pbc="T T T"
Se 0.810 3.239 3.703
Se 4.144 5.509 3.121
Se 0.975 -0.190 2.959
Se 4.310 2.080 2.377
Se 4.144 2.361 5.875
Se 3.363 -0.147 -0.168
Se 0.975 2.958 0.206
Zr -0.803 4.295 1.907
Zr -0.803 1.318 4.511
Ga 2.979 4.164 4.760
Ga 2.140 1.155 1.320
```

Summary:
DFT total energy in eV/atom: -5.069
SG: C2/m
Energy relative to the elements, uncorrected in meV/atom: -747
Magnetic moment in μB/f.u.: 0.0



[2]
A plane-wave DFT calculation with GGA-PBE was carried out for ZrGaSe2 after structural relaxation.

Geometry as extended XYZ:
```
8
Lattice="6.803 0.000 0.000 0.000 6.803 0.000 3.401 3.401 5.544" Properties=species:S:1:pos:R:3 pbc="T T T"
Se 8.503 8.798 4.158
Se 1.406 5.102 1.386
Se 5.102 4.807 4.158
Se 5.397 1.701 1.386
Zr 0.000 0.000 0.000
Zr 6.803 3.401 2.772
Ga 3.401 3.401 0.000
Ga 3.401 6.803 2.772
```

Summary:
DFT total energy in eV/atom: -5.179
SG: I-42d
Energy relative to the elements, uncorrected in meV/atom: -543
Magnetic moment in μB/f.u.: 0.9



[3]
A plane-wave DFT calculation with GGA-PBE was carried out for Zr3Ga5Se12 after structural relaxation.

Geometry as extended XYZ:
```
80
Lattice="13.497 0.000 0.000 -4.499 12.725 0.000 -4.499 -6.362 11.020" Properties=species:S:1:pos:R:3 pbc="T T T"
Zr 7.873 3.976 1.377
Zr 3.374 7.158 6.887
Zr 1.125 -0.795 4.132
Zr 5.624 0.795 4.132
Zr 7.873 8.748 1.377
Zr -3.374 2.386 9.642
Zr 3.374 0.000 8.265
Zr 10.122 0.000 2.755
Zr -1.125 5.567 6.887
Zr 1.125 6.362 2.755
Zr -3.374 -2.386 9.642
Zr -5.624 6.362 8.265
Se -1.655 -0.660 5.013
Se 2.844 1.490 3.575
Se 0.594 7.853 7.445
Se 8.017 -4.398 9.559
Se 9.978 2.898 3.078
Se 3.905 -1.490 3.575
Se 8.927 1.401 0.497
Se 1.655 4.872 7.445
Se 4.956 -1.674 10.049
Se 5.093 5.532 8.588
Se -0.594 0.830 2.432
Se 6.154 7.022 6.007
Se -4.428 4.962 10.523
Se 5.480 -0.933 6.480
Se 6.291 6.366 1.935
Se 1.269 0.933 6.480
Se 2.320 -2.051 6.474
Se 1.792 1.674 10.049
Se -2.844 7.193 8.588
Se 4.956 1.677 10.056
Se 2.179 8.413 4.546
Se 8.404 0.660 5.013
Se -1.269 -3.465 7.942
Se -5.480 3.465 7.942
Se 5.768 1.964 1.461
Se 0.071 4.312 4.546
Se 2.707 4.688 0.970
Se 6.819 3.451 4.049
Se -1.792 -0.003 9.085
Se -0.457 4.685 0.964
Se -4.956 0.003 9.085
Se 2.707 8.040 0.964
Se -0.981 7.296 4.540
Se -1.269 4.398 9.559
Se -2.320 -4.962 10.523
Se 6.819 11.324 0.497
Se 3.230 5.429 4.540
Se 9.455 6.359 1.935
Se 4.428 2.051 6.474
Se 9.068 -2.911 6.971
Se 7.342 -0.830 2.432
Se -2.320 2.911 6.971
Se -4.569 9.274 4.049
Se -3.905 5.702 6.007
Se -3.518 10.760 1.461
Se -0.457 8.036 0.970
Se 1.792 -1.677 10.056
Se 5.768 9.827 3.078
Ga 1.125 3.976 9.642
Ga 7.873 -0.795 6.887
Ga 4.499 -3.181 5.510
Ga 3.374 9.544 2.755
Ga -4.499 3.181 5.510
Ga -3.374 7.158 4.132
Ga 3.374 2.386 1.377
Ga -1.125 3.181 2.755
Ga -2.249 -3.181 5.510
Ga 5.624 -3.976 9.642
Ga 2.249 3.181 5.510
Ga 5.624 5.567 4.132
Ga 5.624 3.181 8.265
Ga 6.748 0.000 0.000
Ga 0.000 0.000 0.000
Ga 1.125 -3.181 8.265
Ga 4.499 6.362 0.000
Ga -1.125 10.339 1.377
Ga -1.125 0.795 6.887
Ga -2.249 6.362 0.000
```

Summary:
DFT total energy in eV/atom: -4.859
SG: Ia-3d
Energy relative to the elements, uncorrected in meV/atom: -729
Magnetic moment in μB/f.u.: 0.0



[4]
A plane-wave DFT calculation with GGA-PBE was carried out for Zr2GaSe after structural relaxation.

Geometry as extended XYZ:
```
4
Lattice="-1.496 -4.224 -1.695 0.135 -3.887 2.797 -4.075 -1.925 1.624" Properties=species:S:1:pos:R:3 pbc="T T T"
Se -2.719 -5.018 1.363
Zr -4.078 -7.526 2.045
Zr -1.359 -2.509 0.682
Ga 0.000 0.000 0.000
```

Summary:
DFT total energy in eV/atom: -6.425
Offset from the most stable computed form in meV/atom: 275
SG: Fm-3m
Energy relative to the elements, uncorrected in meV/atom: -523
Magnetic moment in μB/f.u.: 0.0



[5]
A plane-wave DFT calculation with GGA-PBE was carried out for Zr2GaSe after structural relaxation.

Geometry as extended XYZ:
```
4
Lattice="3.755 0.000 0.000 1.877 3.252 0.000 1.877 1.084 6.837" Properties=species:S:1:pos:R:3 pbc="T T T"
Zr 1.877 1.084 5.226
Zr 1.877 1.084 1.620
Ga 5.632 3.252 6.810
Se 3.755 2.168 3.437
```

Summary:
DFT total energy in eV/atom: -6.687
Offset from the most stable computed form in meV/atom: 13
SG: R3m
Energy relative to the elements, uncorrected in meV/atom: -785
Magnetic moment in μB/f.u.: 0.0



[6]
A plane-wave DFT calculation with GGA-PBE was carried out for Zr2GaSe after structural relaxation.

Geometry as extended XYZ:
```
4
Lattice="-2.530 -2.931 0.085 1.268 -3.657 -0.138 -0.067 -2.315 6.384" Properties=species:S:1:pos:R:3 pbc="T T T"
Ga 0.000 0.000 0.000
Zr -0.992 -6.679 4.820
Zr -0.336 -2.224 1.511
Se -0.664 -4.452 3.166
```

Summary:
DFT total energy in eV/atom: -6.700
Offset from the most stable computed form in meV/atom: 0
SG: R-3m
Energy relative to the elements, uncorrected in meV/atom: -798
Magnetic moment in μB/f.u.: 0.0